VASP calculation (PBE) on a relaxed TmBi2O4F crystal.

Geometry as POSCAR:
```
TmBi2O4F
1.0
3.774 0.000 0.000
0.000 3.774 0.000
0.000 0.000 8.400
Tm Bi O F
1 2 4 1
Direct
0.000 0.000 0.000
0.500 0.500 0.298
0.500 0.500 0.702
0.000 0.500 0.161
0.000 0.500 0.839
0.500 0.000 0.161
0.500 0.000 0.839
0.000 0.000 0.500
```

Final energy (eV per atom): -6.4793
Volume (Å³/cell): 119.6